# 1
## RbTl4In3I8 (PBE)

Data for RbTl4In3I8 after structural relaxation. Values from VASP.

Cell and atoms, written as Quantum ESPRESSO input:
```
&SYSTEM
  ibrav = 0, nat = 16, ntyp = 4
/
ATOMIC_SPECIES
Rb 85.47 Rb.upf
Tl 204.38 Tl.upf
In 114.82 In.upf
I 126.90 I.upf
CELL_PARAMETERS angstrom
5.0339 2.9063 8.2072
-5.0339 2.9063 8.2072
0.0000 -5.8126 8.2072
ATOMIC_POSITIONS crystal
Rb 0.0000 0.0000 0.0000
Tl 0.0000 0.0000 0.5000
Tl 0.0000 0.5000 0.0000
Tl 0.5000 0.0000 0.0000
Tl 0.5000 0.5000 0.5000
In 0.0000 0.5000 0.5000
In 0.5000 0.0000 0.5000
In 0.5000 0.5000 0.0000
I 0.2510 0.2510 0.2510
I 0.2534 0.2534 0.7442
I 0.2534 0.7442 0.2534
I 0.2558 0.7466 0.7466
I 0.7442 0.2534 0.2534
I 0.7466 0.2558 0.7466
I 0.7466 0.7466 0.2558
I 0.7490 0.7490 0.7490
```

---

# 2
## Rb3Tl3InI8 (PBE)

Data for Rb3Tl3InI8 after structural relaxation. Values from VASP.

Cell and atoms, written as Quantum ESPRESSO input:
```
&SYSTEM
  ibrav = 0, nat = 15, ntyp = 4
/
ATOMIC_SPECIES
Rb 85.47 Rb.upf
Tl 204.38 Tl.upf
In 114.82 In.upf
I 126.90 I.upf
CELL_PARAMETERS angstrom
5.1734 2.9869 8.1758
-5.1734 2.9869 8.1758
0.0000 -5.9737 8.1758
ATOMIC_POSITIONS crystal
Rb 0.0000 0.5000 0.5000
Rb 0.5000 0.0000 0.5000
Rb 0.5000 0.5000 0.0000
Tl 0.0000 0.0000 0.5000
Tl 0.0000 0.5000 0.0000
Tl 0.5000 0.0000 0.0000
In 0.0000 0.0000 0.0000
I 0.2142 0.7780 0.7780
I 0.2220 0.2220 0.7858
I 0.2220 0.7858 0.2220
I 0.2461 0.2461 0.2461
I 0.7539 0.7539 0.7539
I 0.7780 0.2142 0.7780
I 0.7780 0.7780 0.2142
I 0.7858 0.2220 0.2220
```

---

# 3
## RbTlIn2I (PBE)

Data for RbTlIn2I after structural relaxation. Values from VASP.

Cell and atoms, written as Quantum ESPRESSO input:
```
&SYSTEM
  ibrav = 0, nat = 5, ntyp = 4
/
ATOMIC_SPECIES
Rb 85.47 Rb.upf
Tl 204.38 Tl.upf
In 114.82 In.upf
I 126.90 I.upf
CELL_PARAMETERS angstrom
6.5862 0.0000 0.0000
0.0000 6.5862 0.0000
0.0000 0.0000 6.5155
ATOMIC_POSITIONS crystal
Rb 0.0000 0.0000 0.0000
Tl 0.5000 0.5000 0.5000
In 0.0000 0.5000 0.0000
In 0.5000 0.0000 0.0000
I 0.0000 0.0000 0.5000
```

---

# 4
## Rb2TlInI4 (PBE)

Data for Rb2TlInI4 after structural relaxation. Values from VASP.

Cell and atoms, written as Quantum ESPRESSO input:
```
&SYSTEM
  ibrav = 0, nat = 8, ntyp = 4
/
ATOMIC_SPECIES
Rb 85.47 Rb.upf
Tl 204.38 Tl.upf
In 114.82 In.upf
I 126.90 I.upf
CELL_PARAMETERS angstrom
8.9109 0.0000 0.0000
0.0000 5.1549 0.0000
-2.9824 0.0000 8.4017
ATOMIC_POSITIONS crystal
Rb 0.0000 0.0000 0.0000
Rb 0.0000 0.5000 0.5000
Tl 0.5000 0.0000 0.5000
In 0.5000 0.5000 0.0000
I 0.2631 0.0000 0.7558
I 0.2628 0.5000 0.2528
I 0.7369 0.0000 0.2442
I 0.7372 0.5000 0.7472
```

---

# 5
## RbTlIn2I6 (PBE)

Data for RbTlIn2I6 after structural relaxation. Values from VASP.

Cell and atoms, written as Quantum ESPRESSO input:
```
&SYSTEM
  ibrav = 0, nat = 10, ntyp = 4
/
ATOMIC_SPECIES
Rb 85.47 Rb.upf
Tl 204.38 Tl.upf
In 114.82 In.upf
I 126.90 I.upf
CELL_PARAMETERS angstrom
4.3498 2.5114 7.0795
-4.3498 2.5114 7.0795
0.0000 -5.0228 7.0795
ATOMIC_POSITIONS crystal
Rb 0.0000 0.0000 0.0000
Tl 0.4896 0.4896 0.4896
In 0.2805 0.2805 0.2805
In 0.7808 0.7808 0.7808
I 0.0650 0.4345 0.6020
I 0.1428 0.9558 0.5135
I 0.4345 0.6020 0.0650
I 0.5135 0.1428 0.9558
I 0.6020 0.0650 0.4345
I 0.9558 0.5135 0.1428
```

---

# 6
## Rb3Tl4InI8 (PBE)

Data for Rb3Tl4InI8 after structural relaxation. Values from VASP.

Cell and atoms, written as Quantum ESPRESSO input:
```
&SYSTEM
  ibrav = 0, nat = 16, ntyp = 4
/
ATOMIC_SPECIES
Rb 85.47 Rb.upf
Tl 204.38 Tl.upf
In 114.82 In.upf
I 126.90 I.upf
CELL_PARAMETERS angstrom
5.1154 2.9533 8.3521
-5.1154 2.9533 8.3521
0.0000 -5.9067 8.3521
ATOMIC_POSITIONS crystal
Rb 0.0000 0.5000 0.5000
Rb 0.5000 0.0000 0.5000
Rb 0.5000 0.5000 0.0000
Tl 0.0000 0.0000 0.5000
Tl 0.0000 0.5000 0.0000
Tl 0.5000 0.0000 0.0000
Tl 0.5000 0.5000 0.5000
In 0.0000 0.0000 0.0000
I 0.2416 0.7512 0.7512
I 0.2461 0.2461 0.2461
I 0.2488 0.2488 0.7584
I 0.2488 0.7584 0.2488
I 0.7512 0.2416 0.7512
I 0.7512 0.7512 0.2416
I 0.7539 0.7539 0.7539
I 0.7584 0.2488 0.2488
```

---

# 7
## RbTl2InI6 (PBE)

Data for RbTl2InI6 after structural relaxation. Values from VASP.

Cell and atoms, written as Quantum ESPRESSO input:
```
&SYSTEM
  ibrav = 0, nat = 10, ntyp = 4
/
ATOMIC_SPECIES
Rb 85.47 Rb.upf
Tl 204.38 Tl.upf
In 114.82 In.upf
I 126.90 I.upf
CELL_PARAMETERS angstrom
4.3390 2.5051 7.5018
-4.3390 2.5051 7.5018
0.0000 -5.0102 7.5018
ATOMIC_POSITIONS crystal
Rb 0.0000 0.0000 0.0000
Tl 0.2913 0.2913 0.2913
Tl 0.8060 0.8060 0.8060
In 0.4884 0.4884 0.4884
I 0.1315 0.6780 0.4122
I 0.2674 0.5837 0.8337
I 0.4122 0.1315 0.6780
I 0.5837 0.8337 0.2674
I 0.6780 0.4122 0.1315
I 0.8337 0.2674 0.5837
```

---

# 8
## RbTlInI4 (PBE)

Data for RbTlInI4 after structural relaxation. Values from VASP.

Cell and atoms, written as Quantum ESPRESSO input:
```
&SYSTEM
  ibrav = 0, nat = 14, ntyp = 4
/
ATOMIC_SPECIES
Rb 85.47 Rb.upf
Tl 204.38 Tl.upf
In 114.82 In.upf
I 126.90 I.upf
CELL_PARAMETERS angstrom
4.2601 -9.1878 0.0000
4.2601 9.1878 0.0000
0.0000 0.0000 8.5382
ATOMIC_POSITIONS crystal
Rb 0.1139 0.8861 0.7500
Rb 0.8861 0.1139 0.2500
Tl 0.3958 0.6042 0.7500
Tl 0.6042 0.3958 0.2500
In 0.2484 0.7516 0.2500
In 0.7516 0.2484 0.7500
I 0.0000 0.5000 0.0000
I 0.0000 0.5000 0.5000
I 0.0812 0.9188 0.2500
I 0.4255 0.5745 0.2500
I 0.5000 0.0000 0.0000
I 0.5000 0.0000 0.5000
I 0.5745 0.4255 0.7500
I 0.9188 0.0812 0.7500
```

---

# 9
## Rb3TlIn2I6 (PBE)

Data for Rb3TlIn2I6 after structural relaxation. Values from VASP.

Cell and atoms, written as Quantum ESPRESSO input:
```
&SYSTEM
  ibrav = 0, nat = 12, ntyp = 4
/
ATOMIC_SPECIES
Rb 85.47 Rb.upf
Tl 204.38 Tl.upf
In 114.82 In.upf
I 126.90 I.upf
CELL_PARAMETERS angstrom
11.2121 -2.5744 0.0000
11.2121 2.5744 0.0000
-2.3264 0.0000 10.0164
ATOMIC_POSITIONS crystal
Rb 0.0000 0.0000 0.0000
Rb 0.3332 0.3332 0.6677
Rb 0.6668 0.6668 0.3323
Tl 0.0000 0.0000 0.5000
In 0.3334 0.3334 0.1671
In 0.6666 0.6666 0.8329
I 0.1640 0.1640 0.5906
I 0.1700 0.1700 0.0740
I 0.4968 0.4968 0.2557
I 0.5032 0.5032 0.7443
I 0.8300 0.8300 0.9260
I 0.8360 0.8360 0.4094
```

---

# 10
## Rb2TmInI6 (PBE)

Data for Rb2TmInI6 after structural relaxation. Values from VASP.

Cell and atoms, written as Quantum ESPRESSO input:
```
&SYSTEM
  ibrav = 0, nat = 10, ntyp = 4
/
ATOMIC_SPECIES
Rb 85.47 Rb.upf
Tm 168.93 Tm.upf
In 114.82 In.upf
I 126.90 I.upf
CELL_PARAMETERS angstrom
4.4180 2.5507 7.3223
-4.4180 2.5507 7.3223
0.0000 -5.1015 7.3223
ATOMIC_POSITIONS crystal
Rb 0.0000 0.0000 0.0000
Rb 0.4907 0.4907 0.4907
Tm 0.7080 0.7080 0.7080
In 0.2134 0.2134 0.2134
I 0.0289 0.4754 0.8492
I 0.3818 0.9250 0.5715
I 0.4754 0.8492 0.0289
I 0.5715 0.3818 0.9250
I 0.8492 0.0289 0.4754
I 0.9250 0.5715 0.3818
```

---

Listing final energy for the structures above in their given order: -2.628, -2.609, -1.688, -2.677, -2.517, -2.666, -2.505, -2.524, -2.673, -3.087 eV/atom.
Listing formation energy without anion corrections for the structures above in their given order: -11.0, -14.0, 1.9, -8.2, -7.1, -15.1, -7.3, -5.4, -12.0, -12.4 eV per formula unit.